#w
Al2TlB | PBE | relaxed

extended XYZ file:
```
4
Lattice="0.000 3.291 3.291 3.291 0.000 3.291 3.291 3.291 0.000" Properties=species:S:1:pos:R:3 pbc="T T T"
Al 1.646 1.646 1.646
Al 4.937 4.937 4.937
Tl 0.000 0.000 0.000
B 3.291 3.291 3.291
```

Properties
Its space-group type is Fm-3m (225).


#x
Al2TlB | PBE | relaxed

extended XYZ file:
```
8
Lattice="-3.087 3.087 4.513 3.087 -3.087 4.513 3.087 3.087 -4.513" Properties=species:S:1:pos:R:3 pbc="T T T"
Al 0.723 1.544 1.128
Al -1.544 2.364 3.385
Al -0.723 4.631 1.128
Al 1.544 3.811 3.385
Tl 3.087 0.000 2.257
Tl 0.000 0.000 4.513
B 0.000 0.000 0.000
B 0.000 3.087 2.257
```

Properties
Its space-group type is I-42d (122).


Need the numbers? Relative energies in meV per atom: #w 581; #x 0.


#w
TmAlB | PBE | relaxed

extended XYZ file:
```
6
Lattice="0.000 4.009 4.253 2.837 0.000 4.253 2.837 4.009 0.000" Properties=species:S:1:pos:R:3 pbc="T T T"
Tm 2.837 1.475 4.253
Tm 2.837 6.544 4.253
Al 2.837 4.009 2.744
Al 2.837 4.009 5.761
B 1.419 2.005 2.126
B 4.256 6.014 6.379
```

Properties
Its space-group type is Fmmm (69).


#x
TmAlB | PBE | relaxed

extended XYZ file:
```
3
Lattice="3.743 0.000 0.000 -1.871 3.241 0.000 0.000 0.000 3.997" Properties=species:S:1:pos:R:3 pbc="T T T"
Tm 0.000 0.000 0.000
Al 1.871 1.080 1.999
B 0.000 2.161 1.999
```

Properties
Its space-group type is P-6m2 (187).


Need the numbers? Relative energies in meV per atom: #w 506; #x 0.


#w
Al3VB | PBE | relaxed

extended XYZ file:
```
5
Lattice="4.821 0.000 0.000 0.000 4.821 0.000 0.000 0.000 4.821" Properties=species:S:1:pos:R:3 pbc="T T T"
Al 0.000 0.000 2.410
Al 0.000 2.410 0.000
Al 2.410 0.000 0.000
V 0.000 0.000 0.000
B 2.410 2.410 2.410
```

Properties
Its space-group type is Pm-3m (221).


#x
Al3VB | PBE | relaxed

extended XYZ file:
```
5
Lattice="4.199 0.000 0.000 0.000 4.199 0.000 0.000 0.000 4.199" Properties=species:S:1:pos:R:3 pbc="T T T"
Al 0.000 0.000 2.100
Al 0.000 2.100 0.000
Al 2.100 0.000 0.000
V 2.100 2.100 2.100
B 0.000 0.000 0.000
```

Properties
Its space-group type is Pm-3m (221).


Need the numbers? Relative energies in meV per atom: #w 1031; #x 0.


#w
AlVB | PBE | relaxed

extended XYZ file:
```
6
Lattice="1.544 -7.095 0.000 1.544 7.095 0.000 0.000 0.000 3.009" Properties=species:S:1:pos:R:3 pbc="T T T"
Al 1.544 4.350 2.257
Al 1.544 -4.350 0.752
V 1.544 1.189 2.257
V 1.544 -1.189 0.752
B 1.544 6.644 2.257
B 1.544 -6.644 0.752
```

Properties
Its space-group type is Cmcm (63).


#x
AlVB | PBE | relaxed

extended XYZ file:
```
3
Lattice="-1.461 1.461 4.532 1.461 -1.461 4.532 1.461 1.461 -4.532" Properties=species:S:1:pos:R:3 pbc="T T T"
Al 0.000 0.000 0.000
V 0.000 0.000 6.429
B 0.000 0.000 2.271
```

Properties
Its space-group type is I4mm (107).


#y
AlVB | PBE | relaxed

extended XYZ file:
```
6
Lattice="3.367 -2.465 0.000 3.367 2.465 0.000 -2.184 0.000 4.443" Properties=species:S:1:pos:R:3 pbc="T T T"
Al 0.100 0.000 1.730
Al 4.450 0.000 2.713
V 1.684 1.233 0.000
V 1.684 -1.233 0.000
B 1.219 0.000 3.612
B 3.332 0.000 0.831
```

Properties
Its space-group type is C2/m (12).


Need the numbers? Relative energies in meV per atom: #w 0; #x 590; #y 536.